(1)
Density functional theory data (PBE-GGA) for CaNiN after structural relaxation.

a = 5.894 Å, b = 5.894 Å, c = 4.896 Å
α = 103.74°, β = 103.74°, γ = 34.81°
Fractional coordinates of all 6 atoms:
Ca 0.000 0.000 0.000
Ca 0.185 0.185 0.665
Ni 0.402 0.402 0.428
Ni 0.771 0.771 0.200
N 0.234 0.234 0.206
N 0.541 0.541 0.694

## Properties
formation energy without anion corrections: -0.41 eV per atom
SG: Cm
offset from the most stable computed form: 269 meV/atom

(2)
Density functional theory data (PBE-GGA) for GaNiOsW2 after structural relaxation.

a = 4.775 Å, b = 4.775 Å, c = 4.625 Å
α = 90.00°, β = 90.00°, γ = 90.00°
Fractional coordinates of all 5 atoms:
Ga 0.000 0.000 0.000
Ni 0.500 0.500 0.000
Os 0.000 0.000 0.500
W 0.000 0.500 0.500
W 0.500 0.000 0.500

## Properties
energy relative to the elements: 1.789 eV/atom
SG: P4/mmm

(3)
Density functional theory data (PBE-GGA) for Ba2ZrAs after structural relaxation.

a = 4.654 Å, b = 4.654 Å, c = 9.298 Å
α = 104.38°, β = 104.38°, γ = 60.04°
Fractional coordinates of all 4 atoms:
Ba 0.000 0.000 0.000
Ba 0.182 0.182 0.550
Zr 0.424 0.424 0.275
As 0.758 0.758 0.276

## Properties
energy relative to the elements: -0.335 eV/atom
SG: Cm

(4)
Density functional theory data (PBE-GGA) for MnFeN after structural relaxation.

a = 4.301 Å, b = 4.301 Å, c = 5.195 Å
α = 90.00°, β = 90.00°, γ = 143.91°
Fractional coordinates of all 6 atoms:
Mn 0.233 0.767 0.750
Mn 0.767 0.233 0.250
Fe 0.500 0.500 0.000
Fe 0.500 0.500 0.500
N 0.090 0.910 0.250
N 0.910 0.090 0.750

## Properties
formation energy without anion corrections: 0.07 eV per atom
SG: Cmcm
offset from the most stable computed form: 148 meV/atom

(5)
Density functional theory data (PBE-GGA) for CaSc3Mn after structural relaxation.

a = 4.994 Å, b = 4.994 Å, c = 4.994 Å
α = 90.00°, β = 90.00°, γ = 90.00°
Fractional coordinates of all 5 atoms:
Ca 0.000 0.000 0.000
Sc 0.000 0.500 0.500
Sc 0.500 0.000 0.500
Sc 0.500 0.500 0.000
Mn 0.500 0.500 0.500

## Properties
energy relative to the elements: 0.128 eV/atom
SG: Pm-3m
offset from the most stable computed form: 0 meV/atom

(6)
Density functional theory data (PBE-GGA) for CsAlNiC2 after structural relaxation.

a = 4.147 Å, b = 4.147 Å, c = 4.641 Å
α = 90.00°, β = 90.00°, γ = 90.00°
Fractional coordinates of all 5 atoms:
Cs 0.000 0.000 0.000
Al 0.500 0.500 0.000
Ni 0.500 0.500 0.500
C 0.000 0.500 0.500
C 0.500 0.000 0.500

## Properties
energy relative to the elements: 1.874 eV/atom
SG: P4/mmm

(7)
Density functional theory data (PBE-GGA) for LaBe2GaIr after structural relaxation.

a = 4.507 Å, b = 4.507 Å, c = 4.801 Å
α = 90.00°, β = 90.00°, γ = 90.00°
Fractional coordinates of all 5 atoms:
La 0.000 0.000 0.000
Be 0.000 0.500 0.500
Be 0.500 0.000 0.500
Ga 0.500 0.500 0.000
Ir 0.500 0.500 0.500

## Properties
energy relative to the elements: -0.378 eV/atom
SG: P4/mmm

(8)
Density functional theory data (PBE-GGA) for LiMgMn2 after structural relaxation.

a = 4.880 Å, b = 4.880 Å, c = 4.974 Å
α = 99.38°, β = 99.38°, γ = 33.43°
Fractional coordinates of all 4 atoms:
Li 0.000 0.000 0.000
Mg 0.760 0.760 0.263
Mn 0.244 0.244 0.746
Mn 0.515 0.515 0.533

## Properties
energy relative to the elements: 0.361 eV/atom
SG: Cm

(9)
Density functional theory data (PBE-GGA) for Ce4HCCl2 after structural relaxation.

a = 6.377 Å, b = 3.656 Å, c = 7.333 Å
α = 90.00°, β = 105.80°, γ = 90.00°
Fractional coordinates of all 8 atoms:
Ce 0.228 0.000 0.196
Ce 0.255 0.500 0.796
Ce 0.745 0.500 0.204
Ce 0.772 0.000 0.804
H 0.500 0.000 0.000
C 0.000 0.500 0.000
Cl 0.000 0.000 0.500
Cl 0.500 0.500 0.500

## Properties
SG: P2/m
E_tot: -5.8879 eV/atom

(10)
Density functional theory data (PBE-GGA) for Tc2RuCl2 after structural relaxation.

a = 5.506 Å, b = 5.506 Å, c = 5.506 Å
α = 135.70°, β = 135.70°, γ = 64.45°
Fractional coordinates of all 5 atoms:
Tc 0.250 0.750 0.500
Tc 0.750 0.250 0.500
Ru 0.000 0.000 0.000
Cl 0.365 0.365 0.000
Cl 0.635 0.635 0.000

## Properties
formation energy without anion corrections: 1.12 eV per atom
SG: I4/mmm
offset from the most stable computed form: 54 meV/atom

(11)
Density functional theory data (PBE-GGA) for AlBrNF2 after structural relaxation.

a = 4.832 Å, b = 4.832 Å, c = 3.707 Å
α = 90.00°, β = 90.00°, γ = 90.00°
Fractional coordinates of all 5 atoms:
Al 0.000 0.000 0.000
Br 0.500 0.500 0.500
N 0.500 0.500 0.000
F 0.000 0.500 0.500
F 0.500 0.000 0.500

## Properties
formation energy without anion corrections: 0.34 eV per atom
SG: P4/mmm
offset from the most stable computed form: 1531 meV/atom

(12)
Density functional theory data (PBE-GGA) for Sc2MoBr after structural relaxation.

a = 3.169 Å, b = 4.704 Å, c = 5.634 Å
α = 90.00°, β = 90.00°, γ = 90.00°
Fractional coordinates of all 4 atoms:
Sc 0.000 0.000 0.000
Sc 0.500 0.500 0.372
Mo 0.500 0.500 0.911
Br 0.000 0.000 0.493

## Properties
formation energy without anion corrections: 0.02 eV per atom
SG: Pmm2
offset from the most stable computed form: 388 meV/atom

(13)
Density functional theory data (PBE-GGA) for Y3Er2Sc after structural relaxation.

a = 8.905 Å, b = 8.905 Å, c = 13.980 Å
α = 116.85°, β = 116.85°, γ = 22.21°
Fractional coordinates of all 12 atoms:
Y 0.037 0.037 0.220
Y 0.257 0.257 0.705
Y 0.400 0.400 0.974
Y 0.600 0.600 0.026
Y 0.743 0.743 0.295
Y 0.963 0.963 0.780
Er 0.180 0.180 0.880
Er 0.344 0.344 0.531
Er 0.656 0.656 0.469
Er 0.820 0.820 0.120
Sc 0.438 0.438 0.359
Sc 0.562 0.562 0.641

## Properties
energy relative to the elements: 0.148 eV/atom
SG: C2/m
offset from the most stable computed form: 123 meV/atom

(14)
Density functional theory data (PBE-GGA) for Sn3Pb4 after structural relaxation.

a = 12.117 Å, b = 12.117 Å, c = 3.430 Å
α = 96.77°, β = 96.77°, γ = 24.85°
Fractional coordinates of all 7 atoms:
Sn 0.000 0.000 0.000
Sn 0.139 0.139 0.130
Sn 0.861 0.861 0.870
Pb 0.284 0.284 0.278
Pb 0.428 0.428 0.425
Pb 0.572 0.572 0.575
Pb 0.716 0.716 0.722

## Properties
energy relative to the elements: 0.039 eV/atom
SG: C2/m
offset from the most stable computed form: 0 meV/atom

(15)
Density functional theory data (PBE-GGA) for K2FeOs after structural relaxation.

a = 11.712 Å, b = 11.712 Å, c = 11.712 Å
α = 13.83°, β = 13.83°, γ = 13.83°
Fractional coordinates of all 4 atoms:
K 0.248 0.248 0.248
K 0.752 0.752 0.752
Fe 0.000 0.000 0.000
Os 0.500 0.500 0.500

## Properties
energy relative to the elements: 1.332 eV/atom
SG: R-3m
offset from the most stable computed form: 558 meV/atom

(16)
Density functional theory data (PBE-GGA) for Al2SnGeAs after structural relaxation.

a = 4.890 Å, b = 4.890 Å, c = 5.436 Å
α = 90.00°, β = 90.00°, γ = 90.00°
Fractional coordinates of all 5 atoms:
Al 0.000 0.500 0.000
Al 0.500 0.000 0.000
Sn 0.000 0.000 0.500
Ge 0.500 0.500 0.500
As 0.000 0.000 0.000

## Properties
energy relative to the elements: 0.613 eV/atom
SG: P4/mmm

(17)
Density functional theory data (PBE-GGA) for Mn2Re2Pd after structural relaxation.

a = 7.052 Å, b = 7.052 Å, c = 2.751 Å
α = 90.00°, β = 90.00°, γ = 90.00°
Fractional coordinates of all 10 atoms:
Mn 0.134 0.366 0.000
Mn 0.366 0.866 0.000
Mn 0.634 0.134 0.000
Mn 0.866 0.634 0.000
Re 0.162 0.662 0.500
Re 0.338 0.162 0.500
Re 0.662 0.838 0.500
Re 0.838 0.338 0.500
Pd 0.000 0.000 0.000
Pd 0.500 0.500 0.000

## Properties
energy relative to the elements: 0.135 eV/atom
SG: P4/mbm

(18)
Density functional theory data (PBE-GGA) for MgTa2Mn after structural relaxation.

a = 4.289 Å, b = 4.289 Å, c = 3.519 Å
α = 90.00°, β = 90.00°, γ = 90.00°
Fractional coordinates of all 4 atoms:
Mg 0.000 0.000 0.000
Ta 0.000 0.500 0.500
Ta 0.500 0.000 0.500
Mn 0.500 0.500 0.000

## Properties
energy relative to the elements: 0.352 eV/atom
SG: P4/mmm

(19)
Density functional theory data (PBE-GGA) for MgCr3Si after structural relaxation.

a = 4.489 Å, b = 4.489 Å, c = 4.489 Å
α = 90.00°, β = 90.00°, γ = 90.00°
Fractional coordinates of all 5 atoms:
Mg 0.000 0.000 0.000
Cr 0.000 0.500 0.500
Cr 0.500 0.000 0.500
Cr 0.500 0.500 0.000
Si 0.500 0.500 0.500

## Properties
formation energy without anion corrections: 0.77 eV per atom
SG: Pm-3m
offset from the most stable computed form: 0 meV/atom

(20)
Density functional theory data (PBE-GGA) for LaRh3Pb after structural relaxation.

a = 4.963 Å, b = 4.963 Å, c = 4.963 Å
α = 90.00°, β = 90.00°, γ = 90.00°
Fractional coordinates of all 5 atoms:
La 0.000 0.000 0.000
Rh 0.000 0.000 0.500
Rh 0.000 0.500 0.000
Rh 0.500 0.000 0.000
Pb 0.500 0.500 0.500

## Properties
energy relative to the elements: 0.708 eV/atom
SG: Pm-3m
offset from the most stable computed form: 740 meV/atom

It is found that the DOS at the Fermi energy values, taken in the order of the records, are 4.57 6.73 4.50 4.59 2.70 3.76 2.45 3.32 17.21 3.48 2.89 4.12 22.22 3.15 3.23 2.72 10.33 3.78 5.39 0.57 states/eV per cell.